1.
Entry from Alexandria: a relaxed structure of MnCdH3 (PBE).

Computed properties:
- calculated total energy (eV per atom) = -3.802
- offset from the most stable computed form (meV per atom) = 0.0

Structure (CIF):
```
data_MnCdH3
_cell_length_a 3.476
_cell_length_b 3.476
_cell_length_c 3.476
_cell_angle_alpha 90.00
_cell_angle_beta 90.00
_cell_angle_gamma 90.00
_space_group_name_H-M_alt 'P m -3 m'
_space_group_IT_number 221
_space_group_name_Hall '-P 4 2 3'
loop_
_atom_site_label
_atom_site_type_symbol
_atom_site_fract_x
_atom_site_fract_y
_atom_site_fract_z
Mn1 Mn 0.000 0.000 0.000
Cd1 Cd 0.500 0.500 0.500
H1 H 0.000 0.000 0.500
```

2.
Entry from Alexandria: a relaxed structure of MnCd3H (PBE).

Computed properties:
- calculated total energy (eV per atom) = -2.603
- offset from the most stable computed form (meV per atom) = 0.0

Structure (CIF):
```
data_MnCd3H
_cell_length_a 4.385
_cell_length_b 4.385
_cell_length_c 4.385
_cell_angle_alpha 90.00
_cell_angle_beta 90.00
_cell_angle_gamma 90.00
_space_group_name_H-M_alt 'P m -3 m'
_space_group_IT_number 221
_space_group_name_Hall '-P 4 2 3'
loop_
_atom_site_label
_atom_site_type_symbol
_atom_site_fract_x
_atom_site_fract_y
_atom_site_fract_z
Mn1 Mn 0.000 0.000 0.000
Cd1 Cd 0.000 0.500 0.500
H1 H 0.500 0.500 0.500
```

Which value of calculated total energy does entry 1 give? -3.802 eV per atom

Among the records above, which one has the lowest calculated total energy? MnCdH3

What did the second record say?
Entry from Alexandria: a relaxed structure of MnCd3H (PBE).

Computed properties:
- calculated total energy (eV per atom) = -2.603
- offset from the most stable computed form (meV per atom) = 0.0

Structure (CIF):
```
data_MnCd3H
_cell_length_a 4.385
_cell_length_b 4.385
_cell_length_c 4.385
_cell_angle_alpha 90.00
_cell_angle_beta 90.00
_cell_angle_gamma 90.00
_space_group_name_H-M_alt 'P m -3 m'
_space_group_IT_number 221
_space_group_name_Hall '-P 4 2 3'
loop_
_atom_site_label
_atom_site_type_symbol
_atom_site_fract_x
_atom_site_fract_y
_atom_site_fract_z
Mn1 Mn 0.000 0.000 0.000
Cd1 Cd 0.000 0.500 0.500
H1 H 0.500 0.500 0.500
```